Entry one
A plane-wave DFT calculation with PBE was carried out for PC3 after structural relaxation.

DOS at the Fermi energy, states/eV per atom: 0.572
Calculated volume, Å³/cell: 109

abc: 9.1117 9.1117 2.4803
angles: 90.00 90.00 148.00
Closest atoms and distances in Å follow each position.
Positions (direct):
P: 0.1247 0.8753 0.7500  4 C 1.89
P: 0.8753 0.1247 0.2500  4 C 1.89
C: 0.1603 0.4098 0.7500  2 C 1.64
C: 0.3753 0.6247 0.2500  4 C 1.64
C: 0.4098 0.1603 0.2500  2 C 1.64
C: 0.5902 0.8397 0.7500  2 C 1.64
C: 0.6247 0.3753 0.7500  4 C 1.64
C: 0.8397 0.5902 0.2500  2 C 1.64

Entry two
A plane-wave DFT calculation with PBE was carried out for PC3 after structural relaxation.

DOS at the Fermi energy, states/eV per atom: 0.317
Calculated volume, Å³/cell: 31

abc: 3.3926 2.7315 3.4501
angles: 90.00 105.67 90.00
Closest atoms and distances in Å follow each position.
Positions (direct):
P: 0.0000 0.0000 0.0000  6 C 1.94-2.07
C: 0.3208 0.5000 0.8254  1 C 1.46
C: 0.5000 0.0000 0.5000  4 C 1.97, 2 P 2.07
C: 0.6792 0.5000 0.1746  1 C 1.46

entry two ends up most stable, edging out the next structure by 241 meV per atom.

Entry one
A plane-wave DFT calculation with PBE was carried out for PC3 after structural relaxation.

DOS at the Fermi energy, states/eV per atom: 0.155
Calculated volume, Å³/cell: 147

abc: 5.5512 6.2925 4.2174
angles: 90.00 90.00 90.00
Closest atoms and distances in Å follow each position.
Positions (direct):
P: 0.2328 0.2500 0.0330  4 C 1.78-1.89
P: 0.2672 0.7500 0.5330  4 C 1.78-1.89
P: 0.7328 0.2500 0.4670  4 C 1.78-1.89
P: 0.7672 0.7500 0.9670  4 C 1.78-1.89
C: 0.0656 0.2500 0.4222  2 C 1.49
C: 0.2054 0.1233 0.6562  2 C 1.49-1.59
C: 0.2054 0.3767 0.6562  2 C 1.49-1.59
C: 0.2946 0.6233 0.1562  2 C 1.49-1.59
C: 0.2946 0.8767 0.1562  2 C 1.49-1.59
C: 0.4344 0.7500 0.9222  2 C 1.49
C: 0.5656 0.2500 0.0778  2 C 1.49
C: 0.7054 0.1233 0.8438  2 C 1.49-1.59
C: 0.7054 0.3767 0.8438  2 C 1.49-1.59
C: 0.7946 0.6233 0.3438  2 C 1.49-1.59
C: 0.7946 0.8767 0.3438  2 C 1.49-1.59
C: 0.9344 0.7500 0.5778  2 C 1.49

Entry two
A plane-wave DFT calculation with PBE was carried out for PC3 after structural relaxation.

DOS at the Fermi energy, states/eV per atom: 0.826
Calculated volume, Å³/cell: 69

abc: 5.0712 5.0712 5.0712
angles: 94.78 94.78 146.46
Closest atoms and distances in Å follow each position.
Positions (direct):
P: 0.0000 0.0000 0.0000  2 C 1.46
C: 0.2500 0.7500 0.5000  2 C 1.46
C: 0.5000 0.5000 0.0000  2 P 1.46
C: 0.7500 0.2500 0.5000  2 C 1.46

Entry three
A plane-wave DFT calculation with PBE was carried out for PC3 after structural relaxation.

DOS at the Fermi energy, states/eV per atom: 0.182
Calculated volume, Å³/cell: 64

abc: 4.9592 4.9592 2.6900
angles: 90.00 90.00 104.56
Closest atoms and distances in Å follow each position.
Positions (direct):
P: 0.0962 0.9038 0.7500  2 C 1.79
P: 0.9038 0.0962 0.2500  2 C 1.79
C: 0.0748 0.4608 0.2500  3 C 1.63-1.74, 1 P 1.79
C: 0.4378 0.5622 0.2500  4 C 1.66-1.74
C: 0.4608 0.0748 0.7500  3 C 1.63-1.74, 1 P 1.79
C: 0.5392 0.9252 0.2500  3 C 1.63-1.74, 1 P 1.79
C: 0.5622 0.4378 0.7500  4 C 1.66-1.74
C: 0.9252 0.5392 0.7500  3 C 1.63-1.74, 1 P 1.79

Entry four
A plane-wave DFT calculation with PBE was carried out for PC3 after structural relaxation.

DOS at the Fermi energy, states/eV per atom: 0.349
Calculated volume, Å³/cell: 32

abc: 3.5329 3.5329 2.5893
angles: 90.00 90.00 90.00
Closest atoms and distances in Å follow each position.
Positions (direct):
P: 0.0000 0.0000 0.0000  8 C 2.19
C: 0.0000 0.5000 0.5000  4 C 2.19, 4 P 2.19
C: 0.5000 0.0000 0.5000  4 C 2.19, 4 P 2.19
C: 0.5000 0.5000 0.0000  8 C 2.19

entry three ends up most stable, edging out the next structure by 384 meV per atom.